{
  "formula": "ZnSi2Ag",
  "functional": "PBE",
  "state": "relaxed",
  "raw_formation_energy_mev_per_atom": 388.0,
  "e_tot_ev_per_cell": -13.42,
  "magnetic_moment_mub_per_fu": 0.000,
  "lattice": [[-2.042, 2.042, 3.922], [2.042, -2.042, 3.922], [2.042, 2.042, -3.922]],
  "species": ["Zn", "Si", "Si", "Ag"],
  "frac_coords": [[0.000, 0.000, 0.000], [0.250, 0.750, 0.500], [0.750, 0.250, 0.500], [0.500, 0.500, 0.000]]
}

---

{
  "formula": "Cs2TlReI6",
  "functional": "PBE",
  "state": "relaxed",
  "raw_formation_energy_mev_per_atom": -619.7,
  "e_tot_ev_per_cell": -32.02,
  "magnetic_moment_mub_per_fu": 2.000,
  "lattice": [[0.000, 6.105, 6.105], [6.105, 0.000, 6.105], [6.105, 6.105, 0.000]],
  "species": ["Cs", "Cs", "Tl", "Re", "I", "I", "I", "I", "I", "I"],
  "frac_coords": [[0.250, 0.250, 0.250], [0.750, 0.750, 0.750], [0.000, 0.000, 0.000], [0.500, 0.500, 0.500], [0.274, 0.274, 0.726], [0.274, 0.726, 0.274], [0.274, 0.726, 0.726], [0.726, 0.274, 0.274], [0.726, 0.274, 0.726], [0.726, 0.726, 0.274]]
}

---

{
  "formula": "KZnCl2",
  "functional": "PBE",
  "state": "relaxed",
  "raw_formation_energy_mev_per_atom": -1128.1,
  "e_tot_ev_per_cell": -10.58,
  "magnetic_moment_mub_per_fu": 0.000,
  "lattice": [[4.137, 0.000, 0.000], [0.000, 4.888, 0.000], [-1.092, 0.000, 5.956]],
  "species": ["K", "Zn", "Cl", "Cl"],
  "frac_coords": [[0.000, 0.000, 0.000], [0.596, 0.500, 0.503], [0.463, 0.500, 0.889], [0.631, 0.000, 0.438]]
}

---

{
  "formula": "Ba4LiTl",
  "functional": "PBE",
  "state": "relaxed",
  "ef_ev_per_atom": -0.131,
  "e_tot_ev_per_cell": -12.76,
  "magnetic_moment_mub_per_fu": 0.000,
  "lattice": [[4.359, 0.000, 0.000], [0.000, 4.359, 0.000], [0.000, 0.000, 15.374]],
  "species": ["Ba", "Ba", "Ba", "Ba", "Li", "Tl"],
  "frac_coords": [[0.000, 0.000, 0.132], [0.000, 0.000, 0.868], [0.500, 0.500, 0.360], [0.500, 0.500, 0.640], [0.000, 0.000, 0.500], [0.500, 0.500, 0.000]]
}

---

{
  "formula": "FeReAu2Br",
  "functional": "PBE",
  "state": "relaxed",
  "raw_formation_energy_mev_per_atom": 1311.5,
  "e_tot_ev_per_cell": -22.58,
  "magnetic_moment_mub_per_fu": 2.622,
  "lattice": [[5.093, 0.000, 0.000], [0.000, 5.093, 0.000], [0.000, 0.000, 4.666]],
  "species": ["Fe", "Re", "Au", "Au", "Br"],
  "frac_coords": [[0.000, 0.000, 0.000], [0.000, 0.000, 0.500], [0.000, 0.500, 0.500], [0.500, 0.000, 0.500], [0.500, 0.500, 0.000]]
}

---

{
  "formula": "PrNpU2P4",
  "functional": "PBE",
  "state": "relaxed",
  "ef_ev_per_atom": -1.041,
  "e_tot_ev_per_cell": -70.27,
  "magnetic_moment_mub_per_fu": 8.279,
  "lattice": [[-2.834, 2.834, 5.668], [2.834, -2.834, 5.668], [2.834, 2.834, -5.668]],
  "species": ["Pr", "Np", "U", "U", "P", "P", "P", "P"],
  "frac_coords": [[0.000, 0.000, 0.000], [0.500, 0.500, 0.000], [0.250, 0.750, 0.500], [0.750, 0.250, 0.500], [0.000, 0.500, 0.500], [0.257, 0.257, 0.000], [0.500, 0.000, 0.500], [0.743, 0.743, 0.000]]
}

---

{
  "formula": "NbMoRh",
  "functional": "PBE",
  "state": "relaxed",
  "ef_ev_per_atom": -0.131,
  "e_tot_ev_per_cell": -57.29,
  "magnetic_moment_mub_per_fu": 0.000,
  "lattice": [[4.481, 0.000, 0.000], [-2.241, 3.881, 0.000], [0.000, 0.000, 5.556]],
  "species": ["Nb", "Nb", "Mo", "Mo", "Rh", "Rh"],
  "frac_coords": [[0.000, 0.000, 0.000], [0.333, 0.667, 0.178], [0.000, 0.000, 0.505], [0.667, 0.333, 0.362], [0.333, 0.667, 0.654], [0.667, 0.333, 0.878]]
}

---

{
  "formula": "NiAsP2",
  "functional": "PBE",
  "state": "relaxed",
  "ef_ev_per_atom": 0.020,
  "e_tot_ev_per_cell": -21.17,
  "magnetic_moment_mub_per_fu": 0.000,
  "lattice": [[2.628, 0.000, 0.000], [0.000, 3.939, 0.000], [0.000, 0.000, 6.455]],
  "species": ["Ni", "As", "P", "P"],
  "frac_coords": [[0.000, 0.000, 0.000], [0.500, 0.500, 0.153], [0.500, 0.000, 0.725], [0.500, 0.500, 0.547]]
}

---

{
  "formula": "Mn2CuSeS",
  "functional": "PBE",
  "state": "relaxed",
  "raw_formation_energy_mev_per_atom": 848.7,
  "e_tot_ev_per_cell": -25.80,
  "magnetic_moment_mub_per_fu": 8.021,
  "lattice": [[4.640, 0.000, 0.000], [0.000, 4.640, 0.000], [0.000, 0.000, 5.053]],
  "species": ["Mn", "Mn", "Cu", "Se", "S"],
  "frac_coords": [[0.000, 0.500, 0.000], [0.500, 0.000, 0.000], [0.000, 0.000, 0.500], [0.500, 0.500, 0.000], [0.500, 0.500, 0.500]]
}

---

{
  "formula": "Ba8Sr2Ag",
  "functional": "PBE",
  "state": "relaxed",
  "ef_ev_per_atom": -0.020,
  "e_tot_ev_per_cell": -21.81,
  "magnetic_moment_mub_per_fu": 0.000,
  "lattice": [[14.078, -2.420, 0.000], [14.078, 2.420, 0.000], [-1.659, 0.000, 9.528]],
  "species": ["Ba", "Ba", "Ba", "Ba", "Ba", "Ba", "Ba", "Ba", "Sr", "Sr", "Ag"],
  "frac_coords": [[0.004, 0.004, 0.242], [0.202, 0.202, 0.365], [0.382, 0.382, 0.949], [0.395, 0.395, 0.437], [0.605, 0.605, 0.563], [0.618, 0.618, 0.051], [0.798, 0.798, 0.635], [0.996, 0.996, 0.758], [0.210, 0.210, 0.843], [0.790, 0.790, 0.157], [0.500, 0.500, 0.000]]
}

---

{
  "formula": "CdTcRu2",
  "functional": "PBE",
  "state": "relaxed",
  "ef_ev_per_atom": 0.281,
  "e_tot_ev_per_cell": -28.71,
  "magnetic_moment_mub_per_fu": 0.000,
  "lattice": [[2.766, 0.000, 0.000], [0.000, 2.766, 0.000], [0.000, 0.000, 8.112]],
  "species": ["Cd", "Tc", "Ru", "Ru"],
  "frac_coords": [[0.000, 0.000, 0.000], [0.500, 0.500, 0.721], [0.000, 0.000, 0.492], [0.500, 0.500, 0.269]]
}

---

{
  "formula": "AcHfSbO5",
  "functional": "PBE",
  "state": "relaxed",
  "raw_formation_energy_mev_per_atom": -2723.8,
  "e_tot_ev_per_cell": -129.53,
  "magnetic_moment_mub_per_fu": 0.000,
  "lattice": [[3.969, -4.736, 0.000], [3.969, 4.736, 0.000], [-3.459, 0.000, 7.206]],
  "species": ["Ac", "Ac", "Hf", "Hf", "Sb", "Sb", "O", "O", "O", "O", "O", "O", "O", "O", "O", "O"],
  "frac_coords": [[0.061, 0.939, 0.750], [0.939, 0.061, 0.250], [0.000, 0.500, 0.000], [0.500, 0.000, 0.500], [0.457, 0.543, 0.750], [0.543, 0.457, 0.250], [0.170, 0.245, 0.056], [0.218, 0.782, 0.250], [0.221, 0.618, 0.869], [0.245, 0.170, 0.556], [0.382, 0.779, 0.631], [0.618, 0.221, 0.369], [0.755, 0.830, 0.444], [0.779, 0.382, 0.131], [0.782, 0.218, 0.750], [0.830, 0.755, 0.944]]
}